# GGA-PBEsol YTlCl2, relaxed
# VASP energy ... -4.59 eV/atom
# Offset from the most stable computed form ... 0.009 eV per atom
data_YTlCl2
_cell_length_a 3.5542
_cell_length_b 3.5542
_cell_length_c 9.8109
_cell_angle_alpha 90.00
_cell_angle_beta 90.00
_cell_angle_gamma 120.19
_symmetry_space_group_name_H-M 'P 1'
_symmetry_Int_Tables_number 1
loop_
_symmetry_equiv_pos_as_xyz
'x,y,z'
loop_
_atom_site_label
_atom_site_type_symbol
_atom_site_fract_x
_atom_site_fract_y
_atom_site_fract_z
_atom_site_occupancy
Y1 Y 0.0000 0.0000 0.0000 1
Tl1 Tl 0.0000 0.0000 0.5000 1
Cl1 Cl 0.5000 0.5000 0.2043 1
Cl2 Cl 0.5000 0.5000 0.7957 1